A relaxed LiV2MoO6 crystal, computed with PBE+U.

Properties
The value obtained for the energy is -7.28 eV/atom. The value obtained for the total moment is 0.50 μB per atom.

abc: 5.1316 5.1654 5.5414
angles: 117.20 90.81 119.15
Last column: nearest neighbours and their distance in Å.
Element x y z (fractional)
1 Li 0.0000 0.0000 0.0000  4 O 2.05-2.26
2 V 0.1971 0.4178 0.6342  5 O 1.85-2.01
3 V 0.7056 0.4197 0.1440  6 O 1.97-2.16
4 Mo 0.5086 0.0172 0.5367  6 O 1.98-2.16
5 O 0.0896 0.5256 0.3565  2 V 1.97-2.01, 1 Mo 2.09
6 O 0.3251 0.2498 0.8415  2 V 1.99-2.07, 1 Li 2.05, 1 Mo 2.12
7 O 0.4119 0.2457 0.3667  2 V 2.00-2.09, 1 Mo 2.03
8 O 0.5668 0.9041 0.8386  2 V 1.97-2.11, 1 Mo 2.07, 1 Li 2.11
9 O 0.7977 0.9016 0.3579  1 Mo 1.98, 2 V 1.99-2.12
10 O 0.9400 0.5058 0.8408  1 V 1.85